CaTcMo2P | PBE | relaxed

## Properties
density: 6.1 g/cm³
E_form: 2.83 eV per atom
DFT total energy: -25.30 eV per cell

Cell: 4.608 4.608 4.635 Å, 90.00 90.00 90.00°
Fractional coordinates of all 5 atoms:
Ca: 0.000 0.000 0.000
Tc: 0.000 0.000 0.500
Mo: 0.000 0.500 0.000
Mo: 0.500 0.000 0.000
P: 0.500 0.500 0.500